K2OsBr | Alexandria | PBE | optimized geometry; magnetization = 3.000 μB per cell; N(E_F) = 5.28 states/eV/atom; uncorrected formation energy = 2.8 eV per formula unit; energy relative to the lowest polymorph listed for this composition = 226 meV per atom; volume = 34.69 A^3/atom
1.0
0.000 4.109 4.109
4.109 0.000 4.109
4.109 4.109 0.000
K Br Os
2 1 1
Cartesian
2.054 2.054 2.054 K
6.163 6.163 6.163 K
0.000 0.000 0.000 Br
4.109 4.109 4.109 Os

***

K2RbOsBr | Alexandria | PBE | optimized geometry; magnetization = 2.000 μB per cell; N(E_F) = 0.00 states/eV/atom; uncorrected formation energy = 2.6 eV per formula unit; volume = 47.68 A^3/atom
1.0
-4.857 3.600 -0.968
-1.997 -3.928 -4.587
-3.194 -3.198 4.130
K Br Os Rb
2 1 1 1
Cartesian
-2.428 1.800 -0.484 K
-1.597 -1.599 2.065 K
-5.024 -1.763 -0.712 Br
0.000 0.000 0.000 Os
-0.999 -1.964 -2.293 Rb

***

KOsSe2Br | Alexandria | PBE | optimized geometry; magnetization = 0.001 μB per cell; N(E_F) = 0.87 states/eV/atom; uncorrected formation energy = -0.8 eV per formula unit; energy relative to the lowest polymorph listed for this composition = 0 meV per atom; volume = 27.04 A^3/atom
1.0
-3.873 2.739 -0.957
-2.146 -3.779 -2.130
-2.329 -1.527 5.055
Se Br K Os
2 1 1 1
Cartesian
-1.073 -1.889 -1.065 Se
-1.937 1.369 -0.479 Se
-1.165 -0.764 2.527 Br
-4.174 -1.284 0.984 K
0.000 0.000 0.000 Os

***

KOsSe2Br | Alexandria | PBE | optimized geometry; magnetization = 4.076 μB per cell; N(E_F) = 2.09 states/eV/atom; uncorrected formation energy = 9.2 eV per formula unit; energy relative to the lowest polymorph listed for this composition = 1993 meV per atom; volume = 36.05 A^3/atom
1.0
-2.791 -0.917 4.845
4.931 -0.553 2.736
0.030 5.514 1.060
Se K Os Br
2 1 1 1
Cartesian
-1.395 -0.458 2.422 Se
2.465 -0.276 1.368 Se
0.000 0.000 0.000 K
1.085 2.022 4.320 Os
0.015 2.757 0.530 Br

***

K2TlOsBr8 | Alexandria | PBE | optimized geometry; magnetization = 1.314 μB per cell; N(E_F) = 0.57 states/eV/atom; uncorrected formation energy = -9.0 eV per formula unit; volume = 36.54 A^3/atom
1.0
-3.528 2.527 4.545
-1.180 -9.034 -5.214
4.781 -4.075 5.979
K Br Os Tl
2 8 1 1
Cartesian
1.222 -6.301 4.139 K
-1.148 -4.280 1.171 K
-0.006 -3.301 4.044 Br
2.359 -10.937 0.645 Br
2.143 -9.492 4.396 Br
0.523 -2.039 8.178 Br
-2.070 -1.090 0.914 Br
0.079 -7.280 1.266 Br
-0.450 -8.542 -2.869 Br
-2.285 0.356 4.665 Br
0.000 0.000 0.000 Os
2.391 -2.037 2.989 Tl

***

K2VOsBr | Alexandria | PBE | optimized geometry; magnetization = 1.601 μB per cell; N(E_F) = 2.24 states/eV/atom; uncorrected formation energy = 7.2 eV per formula unit; volume = 41.24 A^3/atom
1.0
6.570 0.000 0.000
0.000 4.776 0.000
0.000 0.000 6.570
Br K Os V
1 2 1 1
Cartesian
0.000 2.388 0.000 Br
3.285 0.000 0.000 K
0.000 0.000 3.285 K
3.285 2.388 3.285 Os
0.000 0.000 0.000 V